(1)
Computed, not measured: a geometry-optimized BaTl2Ga structure at the GGA-PBE level of DFT.

Cell: 3.949 3.949 7.895 Å, 90.00 90.00 90.00°
Fractional positions:
Tl (0.000, 0.000, 0.798)
Tl (0.000, 0.000, 0.202)
Ga (0.500, 0.500, 0.000)
Ba (0.500, 0.500, 0.500)

Properties
**Formation energy**: -0.189 eV/atom
**SG**: P4/mmm, No. 123
**E**: -2.610 eV per atom
**Calculated density**: 8.30 g/cm³
**Crystal system**: tetragonal


(2)
Computed, not measured: a geometry-optimized Ba5TlGa2 structure at the GGA-PBE level of DFT.

Cell: 8.792 8.792 10.811 Å, 113.99 113.99 90.00°
Fractional positions:
Ba (0.178, 0.038, 0.715)
Ba (0.822, 0.962, 0.285)
Ba (0.000, 0.000, 0.000)
Ba (0.678, 0.178, 0.715)
Ba (0.462, 0.322, 0.285)
Ba (0.500, 0.500, 0.000)
Ba (0.322, 0.822, 0.285)
Ba (0.538, 0.678, 0.715)
Ba (0.962, 0.462, 0.285)
Ba (0.038, 0.538, 0.715)
Ga (0.102, 0.398, 0.000)
Ga (0.898, 0.602, 0.000)
Ga (0.398, 0.898, 0.000)
Ga (0.602, 0.102, 0.000)
Tl (0.750, 0.750, 0.500)
Tl (0.250, 0.250, 0.500)

Properties
**Formation energy**: -0.302 eV/atom
**SG**: I4/mcm, No. 140
**E**: -2.556 eV per atom
**Calculated density**: 5.01 g/cm³
**Crystal system**: tetragonal


- What is the calculated density in the second record?
  5.01 g/cm³


- Among the records above, which one has the highest calculated density?
  BaTl2Ga


- What is the E in the second record?
  -2.556 eV per atom


- Among the records above, which one has the highest formation energy?
  BaTl2Ga